--- A ---
Here is a relaxed KPd crystal from OQMD. Energies are from PBE.

Unit cell a=4.987 b=4.987 c=4.987 alpha=60.00 beta=60.00 gamma=60.00
Atoms (fractional coordinates):
K 0.000 0.000 0.000
Pd 0.250 0.250 0.250

***

--- B ---
Here is a relaxed KPd crystal from OQMD. Energies are from PBE.

Unit cell a=4.476 b=4.476 c=4.476 alpha=60.00 beta=60.00 gamma=60.00
Atoms (fractional coordinates):
K 0.000 0.000 0.000
Pd 0.500 0.500 0.500

***

--- C ---
Here is a relaxed KPd crystal from OQMD. Energies are from PBE.

Unit cell a=3.200 b=3.200 c=5.210 alpha=90.00 beta=90.00 gamma=120.00
Atoms (fractional coordinates):
K 0.667 0.333 0.750
Pd 0.333 0.667 0.250

***

Stability check: which of them is most stable? C.

***

--- A ---
Here is a relaxed KRePd crystal from OQMD. Energies are from PBE.

Unit cell a=4.765 b=4.765 c=4.765 alpha=60.00 beta=60.00 gamma=60.00
Atoms (fractional coordinates):
K 0.250 0.250 0.250
Pd 0.000 0.000 0.000
Re 0.750 0.750 0.750

***

--- B ---
Here is a relaxed KRePd crystal from OQMD. Energies are from PBE.

Unit cell a=4.848 b=4.848 c=4.848 alpha=60.00 beta=60.00 gamma=60.00
Atoms (fractional coordinates):
K 0.000 0.000 0.000
Pd 0.250 0.250 0.250
Re 0.750 0.750 0.750

***

Stability check: which of them is most stable? A.

***

--- A ---
Here is a relaxed KScTe3Pd crystal from OQMD. Energies are from PBE.

Unit cell a=9.415 b=4.173 c=10.621 alpha=90.00 beta=116.07 gamma=90.00
Atoms (fractional coordinates):
K 0.026 0.250 0.258
K 0.974 0.750 0.742
Pd 0.492 0.750 0.395
Pd 0.508 0.250 0.605
Sc 0.469 0.250 0.151
Sc 0.531 0.750 0.849
Te 0.245 0.750 0.140
Te 0.695 0.750 0.152
Te 0.687 0.250 0.462
Te 0.313 0.750 0.538
Te 0.305 0.250 0.848
Te 0.755 0.250 0.860

***

--- B ---
Here is a relaxed KScTe3Pd crystal from OQMD. Energies are from PBE.

Unit cell a=9.035 b=9.035 c=9.876 alpha=90.00 beta=90.00 gamma=152.47
Atoms (fractional coordinates):
K 0.258 0.742 0.250
K 0.742 0.258 0.750
Pd 0.004 0.996 0.250
Pd 0.996 0.004 0.750
Sc 0.500 0.500 0.000
Sc 0.500 0.500 0.500
Te 0.890 0.110 0.076
Te 0.596 0.404 0.250
Te 0.890 0.110 0.424
Te 0.110 0.890 0.576
Te 0.404 0.596 0.750
Te 0.110 0.890 0.924

***

Stability check: which of them is most stable? B.

***

--- A ---
Here is a relaxed KSiPd crystal from OQMD. Energies are from PBE.

Unit cell a=4.667 b=4.667 c=4.667 alpha=60.00 beta=60.00 gamma=60.00
Atoms (fractional coordinates):
K 0.250 0.250 0.250
Pd 0.000 0.000 0.000
Si 0.750 0.750 0.750

***

--- B ---
Here is a relaxed KSiPd crystal from OQMD. Energies are from PBE.

Unit cell a=4.896 b=4.896 c=4.896 alpha=60.00 beta=60.00 gamma=60.00
Atoms (fractional coordinates):
K 0.000 0.000 0.000
Pd 0.250 0.250 0.250
Si 0.750 0.750 0.750

***

Stability check: which of them is most stable? A.

***

--- A ---
Here is a relaxed K2Te3Pd2 crystal from OQMD. Energies are from PBE.

Unit cell a=8.102 b=8.102 c=8.102 alpha=109.47 beta=109.47 gamma=109.47
Atoms (fractional coordinates):
K 0.308 0.500 0.000
K 0.192 0.192 0.192
K 0.500 0.000 0.308
K 0.000 0.308 0.500
Pd 0.789 0.500 0.000
Pd 0.000 0.789 0.500
Pd 0.711 0.711 0.711
Pd 0.500 0.000 0.789
Te 0.750 0.831 0.081
Te 0.669 0.419 0.250
Te 0.250 0.669 0.419
Te 0.419 0.250 0.669
Te 0.831 0.081 0.750
Te 0.081 0.750 0.831

***

--- B ---
Here is a relaxed K2Te3Pd2 crystal from OQMD. Energies are from PBE.

Unit cell a=7.073 b=7.073 c=7.073 alpha=64.66 beta=64.66 gamma=64.66
Atoms (fractional coordinates):
K 0.000 0.000 0.000
K 0.500 0.500 0.500
Pd 0.250 0.250 0.250
Pd 0.750 0.750 0.750
Te 0.500 0.000 0.000
Te 0.000 0.500 0.000
Te 0.000 0.000 0.500

***

Stability check: which of them is most stable? A.

***

--- A ---
Here is a relaxed KPdW crystal from OQMD. Energies are from PBE.

Unit cell a=4.735 b=4.735 c=4.735 alpha=60.00 beta=60.00 gamma=60.00
Atoms (fractional coordinates):
K 0.250 0.250 0.250
Pd 0.000 0.000 0.000
W 0.750 0.750 0.750

***

--- B ---
Here is a relaxed KPdW crystal from OQMD. Energies are from PBE.

Unit cell a=4.921 b=4.921 c=4.921 alpha=60.00 beta=60.00 gamma=60.00
Atoms (fractional coordinates):
K 0.000 0.000 0.000
Pd 0.250 0.250 0.250
W 0.750 0.750 0.750

***

Stability check: which of them is most stable? A.